1.
Material: La2AgHg
Method: DFT, PBE
State: optimized geometry

Output
energy of formation from the pure elements = -0.20 eV/atom
space-group type = R-3m (166)

Structure (CIF):
```
data_La2AgHg
_chemical_formula_sum 'La6 Ag3 Hg3'
_space_group_name_H-M_alt 'P 1'
_space_group_IT_number 1
_cell_length_a 3.981
_cell_length_b 3.981
_cell_length_c 27.555
_cell_angle_alpha 90.00
_cell_angle_beta 90.00
_cell_angle_gamma 120.00
loop_
_space_group_symop_operation_xyz
'x,y,z'
loop_
_atom_site_label
_atom_site_type_symbol
_atom_site_fract_x
_atom_site_fract_y
_atom_site_fract_z
_atom_site_occupancy
La1 La 0.000 0.000 0.247 1
La2 La 0.000 0.000 0.753 1
La3 La 0.333 0.667 0.419 1
La4 La 0.333 0.667 0.914 1
La5 La 0.667 0.333 0.086 1
La6 La 0.667 0.333 0.581 1
Ag1 Ag 0.000 0.000 0.500 1
Ag2 Ag 0.333 0.667 0.167 1
Ag3 Ag 0.667 0.333 0.833 1
Hg1 Hg 0.000 0.000 0.000 1
Hg2 Hg 0.333 0.667 0.667 1
Hg3 Hg 0.667 0.333 0.333 1
```

***

2.
Material: NaPrZrSnO6
Method: DFT, PBE
State: optimized geometry

Output
energy relative to the elements, uncorrected = -2372 kJ/mol of formula units
space-group type = F-43m (216)

Structure (CIF):
```
data_NaPrZrSnO6
_chemical_formula_sum 'Na1 Pr1 Zr1 Sn1 O6'
_space_group_name_H-M_alt 'P 1'
_space_group_IT_number 1
_cell_length_a 5.813
_cell_length_b 5.813
_cell_length_c 5.813
_cell_angle_alpha 60.00
_cell_angle_beta 60.00
_cell_angle_gamma 60.00
loop_
_space_group_symop_operation_xyz
'x,y,z'
loop_
_atom_site_label
_atom_site_type_symbol
_atom_site_fract_x
_atom_site_fract_y
_atom_site_fract_z
_atom_site_occupancy
Na1 Na 0.000 0.000 0.000 1
Pr1 Pr 0.500 0.500 0.500 1
Zr1 Zr 0.250 0.250 0.250 1
Sn1 Sn 0.750 0.750 0.750 1
O1 O 0.502 0.502 0.998 1
O2 O 0.502 0.998 0.502 1
O3 O 0.502 0.998 0.998 1
O4 O 0.998 0.502 0.502 1
O5 O 0.998 0.502 0.998 1
O6 O 0.998 0.998 0.502 1
```

***

3.
Material: DyAl5
Method: DFT, PBE
State: optimized geometry

Output
energy of formation from the pure elements = -0.18 eV/atom
space-group type = P6/mmm (191)

Structure (CIF):
```
data_DyAl5
_chemical_formula_sum 'Dy1 Al5'
_space_group_name_H-M_alt 'P 1'
_space_group_IT_number 1
_cell_length_a 5.513
_cell_length_b 5.513
_cell_length_c 4.366
_cell_angle_alpha 90.00
_cell_angle_beta 90.00
_cell_angle_gamma 120.00
loop_
_space_group_symop_operation_xyz
'x,y,z'
loop_
_atom_site_label
_atom_site_type_symbol
_atom_site_fract_x
_atom_site_fract_y
_atom_site_fract_z
_atom_site_occupancy
Dy1 Dy 0.000 0.000 0.000 1
Al1 Al 0.000 0.500 0.500 1
Al2 Al 0.333 0.667 0.000 1
Al3 Al 0.500 0.000 0.500 1
Al4 Al 0.500 0.500 0.500 1
Al5 Al 0.667 0.333 0.000 1
```

***

Fermi-level density of states per entry: 4.5; 0.0; 3.6 states/eV/f.u.